10
Lattice="-7.1258 -1.5823 1.3472 1.9900 -6.5820 2.7950 0.3401 1.7288 3.8292" Properties=species:S:1:pos:R:3 comment="Sc2Hg2Au, optimized geometry, DFT PBE-GGA" dos_ef_per_ev_atom=1.12 e_above_lowest_polymorph_kj_per_mol_fu=88 mass_density_g_cm3=9.8 magmom_total_mub_per_cell=0.00 formation_energy_ev_per_atom=-0.253 pbc="T T T"
Hg -5.2035 -2.8050 4.0485
Sc -0.4240 -2.5127 1.1721
Hg -2.0487 -0.6640 2.8017
Hg 0.4077 -3.6305 3.9229
Sc -0.7735 -6.1023 2.8238
Hg -2.7471 -5.7715 5.1697
Au 0.0000 0.0000 0.0000
Sc -4.7118 -5.6516 2.9701
Sc -4.3623 -2.0620 1.3184
Au -2.5679 -4.0822 2.0711